Computed, not measured: a relaxed ErBi2S5 crystal at the PBE level of DFT.

Lattice parameters (Å, degrees): 5.4231 13.4840 12.9910 90.00 90.00 90.00
With the nearest neighbours (Å) after each atom.
Space group Cmcm (No. 63)
Unique sites:
1 Er 0.0000 0.2122 0.2500 (multiplicity 4)  6 S 2.66-2.80
2 Bi 0.0000 0.1409 0.5540 (multiplicity 8)  6 S 2.68-2.86
3 S 0.0000 0.0517 0.1307 (multiplicity 8)  1 Er 2.66, 2 Bi 2.68-2.78
4 S 0.0000 0.2369 0.7500 (multiplicity 4)  2 Er 2.80, 2 Bi 2.86
5 S 0.0000 0.3154 0.0701 (multiplicity 8)  1 Er 2.72, 3 Bi 2.78-2.85

Computed properties:
Its density of states at the Fermi level is 16.33 states/eV/cell.

Computed, not measured: a relaxed Er3Tl4BiS8 crystal at the PBE level of DFT.

Lattice parameters (Å, degrees): 8.0740 8.0740 22.5070 90.00 90.00 120.00
With the nearest neighbours (Å) after each atom.
Space group R-3m (No. 166, hexagonal axes)
Unique sites:
1 Er 0.0000 0.5000 0.0000 (multiplicity 9)  6 S 2.74-2.75
2 Tl 0.0000 0.0000 0.5000 (multiplicity 3)  6 S 3.19
3 Tl 0.0000 0.5000 0.5000 (multiplicity 9)  6 S 3.26-3.27
4 Bi 0.0000 0.0000 0.0000 (multiplicity 3)  6 S 2.83
5 S 0.0000 0.0000 0.2683 (multiplicity 6)  3 Er 2.75
6 S 0.0095 0.5048 0.2667 (multiplicity 18)  2 Er 2.74, 1 Bi 2.83

Computed, not measured: a relaxed ErTmBiS2 crystal at the PBE level of DFT.

Lattice parameters (Å, degrees): 4.4849 4.4849 13.4978 90.00 90.00 90.00
With the nearest neighbours (Å) after each atom.
Space group I4mm (No. 107)
Unique sites:
1 Er 0.0000 0.0000 0.0000 (multiplicity 2)  4 S 2.64
2 Tm 0.0000 0.0000 0.2945 (multiplicity 2)  4 S 2.63
3 Bi 0.0000 0.0000 0.6469 (multiplicity 2)  4 Er 3.74, 4 Tm 3.74, 8 S 4.04-4.06
4 S 0.0000 0.5000 0.3963 (multiplicity 4)  2 Tm 2.63, 2 Er 2.64

Computed properties:
Its density of states at the Fermi level is 6.93 states/eV/cell.

no.,formation energy (no corrections) (eV/atom)
1,-0.73
2,-1.22
3,-1.26